{
  "formula": "Sr8Ge2P",
  "functional": "PBE-GGA",
  "state": "optimized geometry",
  "lattice_angstrom": [[10.311, -2.643, 0.000], [10.311, 2.643, 0.000], [-1.336, 0.000, 7.413]],
  "species": ["Sr", "Sr", "Sr", "Sr", "Sr", "Sr", "Sr", "Sr", "Ge", "Ge", "P"],
  "frac_coords": [[0.037, 0.037, 0.300], [0.220, 0.220, 0.827], [0.341, 0.341, 0.529], [0.411, 0.411, 0.082], [0.589, 0.589, 0.918], [0.659, 0.659, 0.471], [0.780, 0.780, 0.173], [0.963, 0.963, 0.700], [0.193, 0.193, 0.241], [0.807, 0.807, 0.759], [0.500, 0.500, 0.500]],
  "dos_ef_per_ev_atom": 0.888,
  "energy_ev_per_cell": -32.5,
  "m_tot_mub_per_cell": 0.74,
  "crystal_system": "monoclinic",
  "ef_ev_per_atom": -0.40
}